# HgAsOs2 PBE optimized geometry
# * uncorrected energy: -25.7 eV per formula unit
# * DOS at the Fermi energy: 0.314 states/eV per atom
# * ΔH_f (0 K): 164 kJ/mol of formula units
# * excess energy over the best structure of this formula in the dataset: 2.8 kJ/mol of atoms
# * calculated volume: 75.4 Å³/f.u.
data_HgAsOs2
_symmetry_space_group_name_H-M 'P 1'
_symmetry_Int_Tables_number 1
_cell_length_a 10.7883
_cell_length_b 10.7883
_cell_length_c 10.7883
_cell_angle_alpha 15.22
_cell_angle_beta 15.22
_cell_angle_gamma 15.22
loop_
_symmetry_equiv_pos_as_xyz
'x,y,z'
loop_
_atom_site_label
_atom_site_fract_x
_atom_site_fract_y
_atom_site_fract_z
_atom_site_occupancy
Os1 0.2536 0.2536 0.2536 1
As1 0.5257 0.5257 0.5257 1
Os2 0.9861 0.9861 0.9861 1
Hg1 0.7346 0.7346 0.7346 1

# Y4CoHg PBE optimized geometry
# * uncorrected energy: -34.8 eV per formula unit
# * DOS at the Fermi energy: 1.102 states/eV per atom
# * ΔH_f (0 K): -149 kJ/mol of formula units
# * excess energy over the best structure of this formula in the dataset: 0.0 kJ/mol of atoms
# * calculated volume: 159.0 Å³/f.u.
data_Y4CoHg
_symmetry_space_group_name_H-M 'P 1'
_symmetry_Int_Tables_number 1
_cell_length_a 6.1252
_cell_length_b 9.2048
_cell_length_c 7.5695
_cell_angle_alpha 116.10
_cell_angle_beta 98.75
_cell_angle_gamma 114.53
loop_
_symmetry_equiv_pos_as_xyz
'x,y,z'
loop_
_atom_site_label
_atom_site_fract_x
_atom_site_fract_y
_atom_site_fract_z
_atom_site_occupancy
Y1 0.2226 0.6277 0.8339 1
Y2 0.7774 0.3723 0.1661 1
Hg1 0.3781 0.6281 0.2561 1
Y3 0.1113 0.2061 0.8339 1
Hg2 0.6219 0.3719 0.7439 1
Y4 0.8887 0.7939 0.1661 1
Y5 0.7707 0.7321 0.6711 1
Co1 0.2489 0.9989 0.9977 1
Y6 0.4005 0.9390 0.6711 1
Y7 0.5995 0.0610 0.3289 1
Y8 0.2293 0.2679 0.3289 1
Co2 0.7511 0.0011 0.0023 1

# Na3In4Pb3 PBE optimized geometry
# * uncorrected energy: -26.4 eV per formula unit
# * DOS at the Fermi energy: 0.459 states/eV per atom
# * ΔH_f (0 K): -36 kJ/mol of formula units
# * calculated volume: 303.6 Å³/f.u.
data_Na3In4Pb3
_symmetry_space_group_name_H-M 'P 1'
_symmetry_Int_Tables_number 1
_cell_length_a 3.7770
_cell_length_b 8.9654
_cell_length_c 8.9654
_cell_angle_alpha 89.62
_cell_angle_beta 90.00
_cell_angle_gamma 90.00
loop_
_symmetry_equiv_pos_as_xyz
'x,y,z'
loop_
_atom_site_label
_atom_site_fract_x
_atom_site_fract_y
_atom_site_fract_z
_atom_site_occupancy
Pb1 0.5000 0.8278 0.1722 1
In1 0.0000 0.8793 0.8728 1
In2 0.0000 0.1272 0.1207 1
Na1 0.0000 0.5116 0.0065 1
Na2 0.0000 0.9935 0.4884 1
In3 0.0000 0.3720 0.6280 1
Pb2 0.5000 0.6705 0.6772 1
In4 0.0000 0.6223 0.3777 1
Pb3 0.5000 0.3228 0.3295 1
Na3 0.5000 0.1730 0.8270 1

# Pm8BiC4 PBE optimized geometry
# * uncorrected energy: -81.7 eV per formula unit
# * DOS at the Fermi energy: 0.714 states/eV per atom
# * ΔH_f (0 K): -282 kJ/mol of formula units
# * excess energy over the best structure of this formula in the dataset: 0.0 kJ/mol of atoms
# * calculated volume: 311.9 Å³/f.u.
data_Pm8BiC4
_symmetry_space_group_name_H-M 'P 1'
_symmetry_Int_Tables_number 1
_cell_length_a 3.7089
_cell_length_b 9.1818
_cell_length_c 9.6031
_cell_angle_alpha 81.06
_cell_angle_beta 78.87
_cell_angle_gamma 78.35
loop_
_symmetry_equiv_pos_as_xyz
'x,y,z'
loop_
_atom_site_label
_atom_site_fract_x
_atom_site_fract_y
_atom_site_fract_z
_atom_site_occupancy
Bi1 0.5157 0.0017 0.9669 1
C1 0.3661 0.8398 0.4280 1
C2 0.8481 0.5035 0.8003 1
Pm1 0.8871 0.6727 0.5531 1
Pm2 0.8481 0.9966 0.3072 1
Pm3 0.5579 0.6606 0.2236 1
Pm4 0.1444 0.3305 0.3806 1
Pm5 0.1833 0.0067 0.6267 1
C3 0.1833 0.5000 0.1334 1
Pm6 0.8108 0.3414 0.0371 1
Pm7 0.2207 0.6621 0.8966 1
C4 0.6653 0.1635 0.5059 1
Pm8 0.4735 0.3429 0.7101 1